{
  "formula": "InFeTeO6",
  "functional": "GGA+U",
  "state": "relaxed",
  "lattice_angstrom": [[4.802, 0.000, 0.000], [0.000, 4.802, 0.000], [0.000, 0.000, 9.346]],
  "species": ["O", "O", "O", "O", "O", "O", "O", "O", "O", "O", "O", "O", "Te", "Te", "Fe", "Fe", "In", "In"],
  "frac_coords": [[0.822, 0.178, 0.168], [0.805, 0.195, 0.485], [0.305, 0.305, 0.985], [0.206, 0.794, 0.842], [0.706, 0.706, 0.342], [0.294, 0.294, 0.342], [0.178, 0.822, 0.168], [0.322, 0.322, 0.668], [0.794, 0.206, 0.842], [0.678, 0.678, 0.668], [0.695, 0.695, 0.985], [0.195, 0.805, 0.485], [0.500, 0.500, 0.836], [0.000, 0.000, 0.336], [0.000, 0.000, 0.004], [0.500, 0.500, 0.504], [0.500, 0.500, 0.169], [0.000, 0.000, 0.669]],
  "mass_density_g_cm3": 6.07,
  "crystal_system": "tetragonal",
  "total_energy_ev_per_cell": -103.98
}